Density functional theory data (PBE-GGA) for ReMo2Os after structural relaxation.

```
ReMo2Os
1.0
9.351 0.010 0.006
8.939 2.745 0.006
8.939 1.347 2.392
Mo Os Re
2 1 1
direct
0.999 0.999 0.999 Mo
0.501 0.501 0.501 Mo
0.250 0.250 0.250 Os
0.750 0.750 0.750 Re
```

Calculated values
**DFT formation energy**: 182 meV per atom
**DFT total energy**: -44.61 eV for the cell shown